(1)
Here is a relaxed structure of K2AsP from Alexandria. Energies are from PBEsol.

Output
- energy relative to the lowest polymorph listed for this composition (eV per atom) = 0.000
- energy of formation (eV per atom) = -0.363
- N(E_F) (states/eV/cell) = 1.00
- DFT total energy (eV for the cell shown) = -14.61

abc: 3.9971 5.0760 6.2332
angles: 114.03 90.00 90.00
With the nearest neighbours (Å) after each atom.
Sites, in units of the cell vectors:
P 0.0000 0.8085 0.6170  2 As 2.41
As 0.5000 0.6907 0.3815  2 P 2.41
K 0.0000 0.1081 0.2162  4 As 3.36, 3 P 3.41, 2 K 3.75
K 0.5000 0.3871 0.7742  4 P 3.35, 3 As 3.38-3.46, 2 K 3.75



(2)
Here is a relaxed structure of K2AsP from Alexandria. Energies are from PBEsol.

Output
- energy relative to the lowest polymorph listed for this composition (eV per atom) = 0.036
- energy of formation (eV per atom) = -0.326
- N(E_F) (states/eV/cell) = 1.08
- DFT total energy (eV for the cell shown) = -14.47

abc: 3.7680 5.3144 6.2902
angles: 114.99 107.43 90.00
With the nearest neighbours (Å) after each atom.
Sites, in units of the cell vectors:
As 0.1905 0.6905 0.3810  2 P 2.40
K 0.9847 0.9847 0.9694  4 P 3.34, 4 As 3.46-3.68, 4 K 3.51-3.62
K 0.7719 0.2719 0.5437  4 As 3.37, 6 K 3.51-3.77, 4 P 3.55-3.56
P 0.5530 0.5530 0.1060  2 As 2.40



(3)
Here is a relaxed structure of K2AsP from Alexandria. Energies are from PBEsol.

Output
- energy relative to the lowest polymorph listed for this composition (eV per atom) = 0.197
- energy of formation (eV per atom) = -0.165
- N(E_F) (states/eV/cell) = 1.13
- DFT total energy (eV for the cell shown) = -13.83

abc: 4.3879 4.3879 9.2767
angles: 76.32 76.32 60.00
With the nearest neighbours (Å) after each atom.
Sites, in units of the cell vectors:
As 0.2077 0.2077 0.3768  3 P 2.53
K 0.9592 0.9592 0.1224  3 P 3.38, 3 As 3.40
K 0.7907 0.7907 0.6278  3 As 3.38, 3 P 3.40
P 0.5423 0.5423 0.3730  3 As 2.53



(4)
Here is a relaxed structure of K2AsP from Alexandria. Energies are from PBEsol.

Output
- energy relative to the lowest polymorph listed for this composition (eV per atom) = 0.349
- energy of formation (eV per atom) = -0.014
- N(E_F) (states/eV/cell) = 1.52
- DFT total energy (eV for the cell shown) = -13.22

abc: 4.2372 4.2372 5.8670
angles: 111.17 111.17 90.00
With the nearest neighbours (Å) after each atom.
Sites, in units of the cell vectors:
As 0.0000 0.0000 0.0000  4 P 3.00, 8 K 3.29
K 0.2500 0.7500 0.5000  4 K 3.00, 4 P 3.29, 4 As 3.29
K 0.7500 0.2500 0.5000  4 K 3.00, 4 P 3.29, 4 As 3.29
P 0.5000 0.5000 0.0000  4 As 3.00, 8 K 3.29



(5)
Here is a relaxed structure of KAsP4 from Alexandria. Energies are from PBEsol.

Output
- energy of formation (eV per atom) = 0.260
- N(E_F) (states/eV/cell) = 3.12
- DFT total energy (eV for the cell shown) = -27.84

abc: 5.5705 5.5705 5.5705
angles: 60.00 60.00 60.00
With the nearest neighbours (Å) after each atom.
Sites, in units of the cell vectors:
As 0.7500 0.7500 0.7500  12 P 3.23, 4 K 3.41
K 0.0000 0.0000 0.0000  12 P 3.34, 4 As 3.41
P 0.3986 0.3986 0.3986  3 P 2.26
P 0.3986 0.3986 0.8042  3 P 2.26
P 0.8042 0.3986 0.3986  3 P 2.26
P 0.3986 0.8042 0.3986  3 P 2.26



(6)
Here is a relaxed structure of K2AsP from Alexandria. Energies are from PBEsol.

Output
- energy relative to the lowest polymorph listed for this composition (eV per atom) = 0.532
- energy of formation (eV per atom) = 0.169
- N(E_F) (states/eV/cell) = 2.79
- DFT total energy (eV for the cell shown) = -12.49

abc: 5.2367 5.2367 5.2367
angles: 60.00 60.00 60.00
With the nearest neighbours (Å) after each atom.
Sites, in units of the cell vectors:
As 0.5000 0.5000 0.5000  4 K 3.21, 4 P 3.21
K 0.0000 0.0000 0.0000  4 P 3.21, 4 K 3.21
K 0.7500 0.7500 0.7500  4 As 3.21, 4 K 3.21
P 0.2500 0.2500 0.2500  4 As 3.21, 4 K 3.21



(7)
Here is a relaxed structure of KAs2P from Alexandria. Energies are from PBEsol.

Output
- energy of formation (eV per atom) = 0.032
- N(E_F) (states/eV/cell) = 1.52
- DFT total energy (eV for the cell shown) = -17.01

abc: 2.9470 4.7747 6.0096
angles: 90.00 90.00 90.00
With the nearest neighbours (Å) after each atom.
Sites, in units of the cell vectors:
P 0.0000 0.5000 0.0000  4 As 2.68, 2 P 2.95
As 0.0000 0.0000 0.2010  1 As 2.42, 2 P 2.68
As 0.0000 0.0000 0.7990  1 As 2.42, 2 P 2.68
K 0.5000 0.5000 0.5000  2 K 2.95



(8)
Here is a relaxed structure of KAs2Pb from Alexandria. Energies are from PBEsol.

Output
- energy of formation (eV per atom) = 0.206
- N(E_F) (states/eV/cell) = 2.42
- DFT total energy (eV for the cell shown) = -14.52

abc: 5.1880 5.1880 5.1880
angles: 60.00 60.00 60.00
With the nearest neighbours (Å) after each atom.
Sites, in units of the cell vectors:
As 0.0000 0.0000 0.0000  4 Pb 3.18, 4 As 3.18
As 0.7500 0.7500 0.7500  4 K 3.18, 4 As 3.18
K 0.5000 0.5000 0.5000  4 As 3.18, 4 Pb 3.18
Pb 0.2500 0.2500 0.2500  4 As 3.18, 4 K 3.18



(9)
Here is a relaxed structure of KAsPb2 from Alexandria. Energies are from PBEsol.

Output
- energy of formation (eV per atom) = -0.104
- N(E_F) (states/eV/cell) = 2.16
- DFT total energy (eV for the cell shown) = -14.65

abc: 3.7953 5.5463 6.4913
angles: 115.29 107.00 90.00
With the nearest neighbours (Å) after each atom.
Sites, in units of the cell vectors:
As 0.5000 0.0000 0.0000  4 Pb 2.92
K 0.0000 0.5000 0.0000  4 As 3.36, 4 Pb 3.55
Pb 0.7999 0.7999 0.5999  2 As 2.92
Pb 0.2001 0.2001 0.4001  2 As 2.92



(10)
Here is a relaxed structure of KAs2Pb2 from Alexandria. Energies are from PBEsol.

Output
- energy of formation (eV per atom) = -0.063
- N(E_F) (states/eV/cell) = 3.13
- DFT total energy (eV for the cell shown) = -19.66

abc: 5.3271 5.3271 6.5720
angles: 113.91 113.91 90.00
With the nearest neighbours (Å) after each atom.
Sites, in units of the cell vectors:
Pb 0.3511 0.3511 0.7021  4 As 2.88, 1 Pb 3.21
Pb 0.6489 0.6489 0.2979  4 As 2.88, 1 Pb 3.21
As 0.2500 0.7500 0.5000  4 Pb 2.88
As 0.7500 0.2500 0.5000  4 Pb 2.88
K 0.0000 0.0000 0.0000  10 Pb 3.78-4.09, 8 As 3.79



(11)
Here is a relaxed structure of KAs2Pb2 from Alexandria. Energies are from PBEsol.

Output
- energy of formation (eV per atom) = -0.112
- N(E_F) (states/eV/cell) = 2.04
- DFT total energy (eV for the cell shown) = -19.91

abc: 4.9863 4.9863 7.0115
angles: 110.83 110.83 90.00
With the nearest neighbours (Å) after each atom.
Sites, in units of the cell vectors:
Pb 0.2500 0.7500 0.5000  4 As 3.02
Pb 0.7500 0.2500 0.5000  4 As 3.02
As 0.3907 0.3907 0.7814  1 As 2.65
As 0.6093 0.6093 0.2186  1 As 2.65
K 0.0000 0.0000 0.0000  8 As 3.77, 8 Pb 3.92



(12)
Here is a relaxed structure of KAsPb3 from Alexandria. Energies are from PBEsol.

Output
- energy of formation (eV per atom) = 0.231
- N(E_F) (states/eV/cell) = 4.84
- DFT total energy (eV for the cell shown) = -17.08

abc: 5.6890 5.6890 5.6890
angles: 90.00 90.00 90.00
With the nearest neighbours (Å) after each atom.
Sites, in units of the cell vectors:
Pb 0.0000 0.5000 0.0000  2 As 2.84
Pb 0.0000 0.0000 0.5000  2 As 2.84
Pb 0.5000 0.0000 0.0000  2 As 2.84
As 0.0000 0.0000 0.0000  6 Pb 2.84
K 0.5000 0.5000 0.5000  12 Pb 4.02



(13)
Here is a relaxed structure of K2As2Pd from Alexandria. Energies are from PBEsol.

Output
- energy of formation (eV per atom) = -0.495
- DFT total energy (eV for the cell shown) = -41.83

abc: 5.9369 6.3879 7.8734
angles: 66.07 90.00 90.00
With the nearest neighbours (Å) after each atom.
Sites, in units of the cell vectors:
K 0.7500 0.5800 0.8400  6 As 3.39-3.60, 4 K 3.67-3.76, 4 Pd 3.71
K 0.2500 0.4200 0.1600  6 As 3.39-3.60, 4 K 3.67-3.76, 4 Pd 3.71
K 0.7500 0.2051 0.5899  6 As 3.30-3.48, 2 Pd 3.30, 2 K 3.67
K 0.2500 0.7949 0.4101  6 As 3.30-3.48, 2 Pd 3.30, 2 K 3.67
As 0.2500 0.3013 0.7771  1 As 2.43, 2 Pd 2.50
As 0.7500 0.6987 0.2229  1 As 2.43, 2 Pd 2.50
As 0.7500 0.0784 0.2229  1 As 2.43, 2 Pd 2.50
As 0.2500 0.9216 0.7771  1 As 2.43, 2 Pd 2.50
Pd 0.5000 0.0000 0.0000  4 As 2.50
Pd 0.0000 0.0000 0.0000  4 As 2.50



(14)
Here is a relaxed structure of K2AsPd from Alexandria. Energies are from PBEsol.

Output
- energy of formation (eV per atom) = -0.243
- N(E_F) (states/eV/cell) = 2.80
- DFT total energy (eV for the cell shown) = -28.61

abc: 4.6053 9.0005 9.0005
angles: 86.25 75.18 75.18
With the nearest neighbours (Å) after each atom.
Sites, in units of the cell vectors:
As 0.2500 0.5000 0.5000  2 Pd 2.30
As 0.5000 0.0000 0.0000  2 Pd 2.30
K 0.8824 0.2426 0.7426  2 Pd 3.13
K 0.8676 0.7574 0.2574  2 Pd 3.13
K 0.3750 0.7426 0.7574  2 Pd 3.13
K 0.8750 0.2574 0.2426  2 Pd 3.13
Pd 0.7500 0.5000 0.5000  2 As 2.30
Pd 0.0000 0.0000 0.0000  2 As 2.30